# 1
The following is a PBE calculation of a geometry-optimized ZnCr2ReN structure, from Alexandria via LeMat-Bulk.

Cell: 4.6687 4.6687 4.8693 Å, 90.00 90.00 90.00°
Positions (direct):
Zn 0.0000 0.0000 0.0000
Cr 0.0000 0.5000 0.5000
Cr 0.5000 0.0000 0.5000
Re 0.0000 0.0000 0.5000
N 0.5000 0.5000 0.0000

Calculated values
The calculation puts the energy relative to the elements, uncorrected at 2.118 eV/atom. The spin magnetization comes out at 4.12 Bohr magnetons per cell. The electronic total energy is -6.141 eV/atom.

---

# 2
The following is a PBE calculation of a geometry-optimized Hf3ZrSi structure, from Alexandria via LeMat-Bulk.

Cell: 4.9267 4.9267 4.9267 Å, 90.00 90.00 90.00°
Positions (direct):
Hf 0.0000 0.0000 0.5000
Hf 0.0000 0.5000 0.0000
Hf 0.5000 0.0000 0.0000
Zr 0.5000 0.5000 0.5000
Si 0.0000 0.0000 0.0000

Calculated values
The calculation puts the energy relative to the elements, uncorrected at 0.256 eV/atom. The spin magnetization comes out at 0.47 Bohr magnetons per cell. Its energy above the lowest structure with this stoichiometry is 0 meV per atom. The electronic total energy is -8.510 eV/atom.

---

# 3
The following is a PBE calculation of a geometry-optimized ZrHgIr2 structure, from Alexandria via LeMat-Bulk.

Cell: 3.1965 3.6082 6.1496 Å, 90.00 90.00 90.00°
Positions (direct):
Zr 0.0000 0.0000 0.0000
Hg 0.0000 0.0000 0.5000
Ir 0.5000 0.5000 0.2408
Ir 0.5000 0.5000 0.7592

Calculated values
The spin magnetization comes out at 0.00 Bohr magnetons per cell. As for the energy of formation from the pure elements: -315 meV per atom. The electronic total energy is -6.958 eV/atom.

---

# 4
The following is a PBE calculation of a geometry-optimized GaBSbAs2 structure, from Alexandria via LeMat-Bulk.

Cell: 5.1675 5.1675 3.8879 Å, 90.00 90.00 90.00°
Positions (direct):
Ga 0.0000 0.0000 0.0000
B 0.0000 0.0000 0.5000
Sb 0.5000 0.5000 0.5000
As 0.0000 0.5000 0.0000
As 0.5000 0.0000 0.0000

Calculated values
The calculation puts the energy relative to the elements, uncorrected at 0.845 eV/atom. The spin magnetization comes out at 0.00 Bohr magnetons per cell. The electronic total energy is -3.780 eV/atom.

---

# 5
The following is a PBE calculation of a geometry-optimized K2NbSeO6 structure, from Alexandria via LeMat-Bulk.

Cell: 5.6320 5.6320 5.6320 Å, 60.00 60.00 60.00°
Positions (direct):
K 0.2500 0.2500 0.2500
K 0.7500 0.7500 0.7500
Nb 0.0000 0.0000 0.0000
Se 0.5000 0.5000 0.5000
O 0.2541 0.2541 0.7459
O 0.2541 0.7459 0.2541
O 0.2541 0.7459 0.7459
O 0.7459 0.2541 0.2541
O 0.7459 0.2541 0.7459
O 0.7459 0.7459 0.2541

Calculated values
The calculation puts the energy relative to the elements, uncorrected at -1.567 eV/atom. The spin magnetization comes out at 0.00 Bohr magnetons per cell. The electronic total energy is -6.117 eV/atom.

---

# 6
The following is a PBE calculation of a geometry-optimized RbBaSe3 structure, from Alexandria via LeMat-Bulk.

Cell: 6.2781 6.2781 6.2781 Å, 90.00 90.00 90.00°
Positions (direct):
Rb 0.0000 0.0000 0.0000
Ba 0.5000 0.5000 0.5000
Se 0.0000 0.5000 0.5000
Se 0.5000 0.0000 0.5000
Se 0.5000 0.5000 0.0000

Calculated values
The calculation puts the energy relative to the elements, uncorrected at -0.518 eV/atom. The spin magnetization comes out at 3.00 Bohr magnetons per cell. Its energy above the lowest structure with this stoichiometry is 0 meV per atom. The electronic total energy is -3.187 eV/atom.

---

# 7
The following is a PBE calculation of a geometry-optimized Pr2Ga8Pd structure, from Alexandria via LeMat-Bulk.

Cell: 4.4196 4.4196 11.4664 Å, 90.00 90.00 90.00°
Positions (direct):
Pr 0.0000 0.0000 0.1929
Pr 0.0000 0.0000 0.8071
Ga 0.0000 0.5000 0.0000
Ga 0.0000 0.5000 0.3795
Ga 0.0000 0.5000 0.6205
Ga 0.5000 0.0000 0.0000
Ga 0.5000 0.0000 0.3795
Ga 0.5000 0.0000 0.6205
Ga 0.5000 0.5000 0.1903
Ga 0.5000 0.5000 0.8097
Pd 0.0000 0.0000 0.5000

Calculated values
The spin magnetization comes out at 0.00 Bohr magnetons per cell. As for the energy of formation from the pure elements: -511 meV per atom. The electronic total energy is -4.053 eV/atom.

---

# 8
The following is a PBE calculation of a geometry-optimized CeNdSe2 structure, from Alexandria via LeMat-Bulk.

Cell: 7.7633 7.7633 7.7633 Å, 30.69 30.69 30.69°
Positions (direct):
Ce 0.0000 0.0000 0.0000
Nd 0.1759 0.1759 0.1759
Se 0.4204 0.4204 0.4204
Se 0.5890 0.5890 0.5890

Calculated values
The calculation puts the energy relative to the elements, uncorrected at -1.768 eV/atom. The spin magnetization comes out at 1.04 Bohr magnetons per cell. Its energy above the lowest structure with this stoichiometry is 68 meV per atom. The electronic total energy is -6.186 eV/atom.

---

# 9
The following is a PBE calculation of a geometry-optimized NdBS3 structure, from Alexandria via LeMat-Bulk.

Cell: 7.6501 6.0045 8.9565 Å, 90.00 90.00 90.00°
Positions (direct):
Nd 0.1155 0.0707 0.0000
Nd 0.3845 0.5707 0.5000
Nd 0.6155 0.4293 0.0000
Nd 0.8845 0.9293 0.5000
B 0.1464 0.5972 0.8288
B 0.3536 0.0972 0.3288
B 0.6464 0.9028 0.8288
B 0.8536 0.4028 0.3288
S 0.0013 0.5975 0.9878
S 0.1722 0.8359 0.7047
S 0.2025 0.8662 0.2987
S 0.2975 0.3662 0.7987
S 0.3278 0.3359 0.2047
S 0.4987 0.0975 0.4878
S 0.5013 0.9025 0.9878
S 0.6722 0.6641 0.7047
S 0.7025 0.6338 0.2987
S 0.7975 0.1338 0.7987
S 0.8278 0.1641 0.2047
S 0.9987 0.4025 0.4878

Calculated values
The calculation puts the energy relative to the elements, uncorrected at -1.250 eV/atom. The spin magnetization comes out at 0.00 Bohr magnetons per cell. Its energy above the lowest structure with this stoichiometry is 0 meV per atom. The electronic total energy is -6.016 eV/atom.

---

# 10
The following is a PBE calculation of a geometry-optimized ZrTiMoOs structure, from Alexandria via LeMat-Bulk.

Cell: 4.5525 4.5525 4.5525 Å, 60.00 60.00 60.00°
Positions (direct):
Zr 0.0000 0.0000 0.0000
Ti 0.5000 0.5000 0.5000
Mo 0.7500 0.7500 0.7500
Os 0.2500 0.2500 0.2500

Calculated values
The spin magnetization comes out at 0.00 Bohr magnetons per cell. As for the energy of formation from the pure elements: -291 meV per atom. The electronic total energy is -9.917 eV/atom.

---

# 11
The following is a PBE calculation of a geometry-optimized RbNbPO6 structure, from Alexandria via LeMat-Bulk.

Cell: 5.0945 5.0945 6.2625 Å, 90.00 90.00 120.00°
Positions (direct):
Rb 0.0000 0.0000 0.0000
Nb 0.6667 0.3333 0.5000
P 0.3333 0.6667 0.5000
O 0.0426 0.4114 0.6594
O 0.0426 0.6312 0.3406
O 0.3688 0.4114 0.3406
O 0.3688 0.9574 0.6594
O 0.5886 0.6312 0.6594
O 0.5886 0.9574 0.3406

Calculated values
The calculation puts the energy relative to the elements, uncorrected at -1.939 eV/atom. The spin magnetization comes out at 1.05 Bohr magnetons per cell. The electronic total energy is -7.072 eV/atom.

---

# 12
The following is a PBE calculation of a geometry-optimized Li4Ga2Pb structure, from Alexandria via LeMat-Bulk.

Cell: 6.5020 6.5020 4.8261 Å, 90.00 90.00 135.93°
Positions (direct):
Li 0.1774 0.8226 0.0000
Li 0.3197 0.6803 0.5000
Li 0.6803 0.3197 0.5000
Li 0.8226 0.1774 0.0000
Ga 0.4015 0.5985 0.0000
Ga 0.5985 0.4015 0.0000
Pb 0.0000 0.0000 0.5000

Calculated values
The spin magnetization comes out at 0.00 Bohr magnetons per cell. As for the energy of formation from the pure elements: -109 meV per atom. Its energy above the lowest structure with this stoichiometry is 0 meV per atom. The electronic total energy is -2.597 eV/atom.

---

# 13
The following is a PBE calculation of a geometry-optimized CeMg3N3 structure, from Alexandria via LeMat-Bulk.

Cell: 7.0165 7.0165 7.0165 Å, 52.76 52.76 52.76°
Positions (direct):
Ce 0.1764 0.1764 0.1764
Ce 0.8236 0.8236 0.8236
Mg 0.0971 0.6867 0.3611
Mg 0.3133 0.6389 0.9029
Mg 0.3611 0.0971 0.6867
Mg 0.6389 0.9029 0.3133
Mg 0.6867 0.3611 0.0971
Mg 0.9029 0.3133 0.6389
N 0.0380 0.4226 0.7652
N 0.2348 0.9620 0.5774
N 0.4226 0.7652 0.0380
N 0.5774 0.2348 0.9620
N 0.7652 0.0380 0.4226
N 0.9620 0.5774 0.2348

Calculated values
The calculation puts the energy relative to the elements, uncorrected at -0.765 eV/atom. The spin magnetization comes out at 2.00 Bohr magnetons per cell. The electronic total energy is -5.864 eV/atom.

---

# 14
The following is a PBE calculation of a geometry-optimized Sm6Tl2C structure, from Alexandria via LeMat-Bulk.

Cell: 7.1120 7.1120 7.1092 Å, 119.99 119.99 59.97°
Positions (direct):
Sm 0.2449 0.2449 0.7459
Sm 0.2447 0.7543 0.7446
Sm 0.2457 0.7553 0.2554
Sm 0.7543 0.2447 0.7446
Sm 0.7553 0.2457 0.2554
Sm 0.7551 0.7551 0.2541
Tl 0.2500 0.2500 0.2501
Tl 0.7500 0.7500 0.7499
C 0.0000 0.0000 0.5000

Calculated values
The spin magnetization comes out at 0.00 Bohr magnetons per cell. As for the energy of formation from the pure elements: -291 meV per atom. Its energy above the lowest structure with this stoichiometry is 0 meV per atom. The electronic total energy is -4.988 eV/atom.

---

# 15
The following is a PBE calculation of a geometry-optimized Ba2SiPPd6 structure, from Alexandria via LeMat-Bulk.

Cell: 6.5995 6.6081 6.7413 Å, 60.80 60.81 60.18°
Positions (direct):
Ba 0.2145 0.2152 0.3556
Ba 0.7855 0.7848 0.6444
Si 0.5000 0.5000 0.5000
P 0.0000 0.0000 0.0000
Pd 0.2492 0.2474 0.8328
Pd 0.2489 0.6696 0.8335
Pd 0.3299 0.7520 0.1668
Pd 0.6701 0.2480 0.8332
Pd 0.7511 0.3304 0.1665
Pd 0.7508 0.7526 0.1672

Calculated values
The calculation puts the energy relative to the elements, uncorrected at -0.720 eV/atom. The spin magnetization comes out at 0.00 Bohr magnetons per cell. The electronic total energy is -5.304 eV/atom.

---

# 16
The following is a PBE calculation of a geometry-optimized MgRe2Pt structure, from Alexandria via LeMat-Bulk.

Cell: 5.0097 5.0097 4.6788 Å, 98.86 98.86 32.14°
Positions (direct):
Mg 0.0000 0.0000 0.0000
Re 0.2417 0.2417 0.7477
Re 0.7583 0.7583 0.2523
Pt 0.5000 0.5000 0.5000

Calculated values
The spin magnetization comes out at 0.00 Bohr magnetons per cell. As for the energy of formation from the pure elements: -25 meV per atom. The electronic total energy is -8.158 eV/atom.

---

# 17
The following is a PBE calculation of a geometry-optimized CaNbCrCd2 structure, from Alexandria via LeMat-Bulk.

Cell: 5.2348 5.2348 4.8679 Å, 90.00 90.00 90.00°
Positions (direct):
Ca 0.0000 0.0000 0.0000
Nb 0.0000 0.0000 0.5000
Cr 0.5000 0.5000 0.5000
Cd 0.0000 0.5000 0.0000
Cd 0.5000 0.0000 0.0000

Calculated values
The spin magnetization comes out at 0.37 Bohr magnetons per cell. As for the energy of formation from the pure elements: 2203 meV per atom. The electronic total energy is -2.502 eV/atom.

---

# 18
The following is a PBE calculation of a geometry-optimized AcZr3P4N12 structure, from Alexandria via LeMat-Bulk.

Cell: 6.8015 6.8015 6.8015 Å, 104.25 104.25 104.25°
Positions (direct):
Ac 0.0000 0.0000 0.0000
Zr 0.0000 0.5539 0.4461
Zr 0.4461 0.0000 0.5539
Zr 0.5539 0.4461 0.0000
P 0.0561 0.5000 0.9439
P 0.5000 0.5000 0.5000
P 0.5000 0.9439 0.0561
P 0.9439 0.0561 0.5000
N 0.0319 0.6282 0.7808
N 0.0908 0.9092 0.5000
N 0.2192 0.3718 0.9681
N 0.3532 0.6468 0.5000
N 0.3718 0.9681 0.2192
N 0.5000 0.0908 0.9092
N 0.5000 0.3532 0.6468
N 0.6282 0.7808 0.0319
N 0.6468 0.5000 0.3532
N 0.7808 0.0319 0.6282
N 0.9092 0.5000 0.0908
N 0.9681 0.2192 0.3718

Calculated values
The calculation puts the energy relative to the elements, uncorrected at -0.756 eV/atom. The spin magnetization comes out at 0.00 Bohr magnetons per cell. The electronic total energy is -8.321 eV/atom.

---

# 19
The following is a PBE calculation of a geometry-optimized BaAlS2Cl structure, from Alexandria via LeMat-Bulk.

Cell: 6.0083 6.0083 5.9443 Å, 90.00 90.00 90.00°
Positions (direct):
Ba 0.0000 0.0000 0.0000
Al 0.5000 0.5000 0.5000
S 0.0000 0.5000 0.0000
S 0.5000 0.0000 0.0000
Cl 0.0000 0.0000 0.5000

Calculated values
The calculation puts the energy relative to the elements, uncorrected at -0.135 eV/atom. The spin magnetization comes out at 2.02 Bohr magnetons per cell. Its energy above the lowest structure with this stoichiometry is 1364 meV per atom. The electronic total energy is -3.288 eV/atom.

---

# 20
The following is a PBE calculation of a geometry-optimized BaSrP2O8 structure, from Alexandria via LeMat-Bulk.

Cell: 5.5328 5.5328 8.1948 Å, 90.00 90.00 120.00°
Positions (direct):
Ba 0.0000 0.0000 0.0000
Sr 0.0000 0.0000 0.5000
P 0.3333 0.6667 0.7795
P 0.6667 0.3333 0.2205
O 0.1812 0.3625 0.7171
O 0.1812 0.8188 0.7171
O 0.3333 0.6667 0.9691
O 0.3625 0.1812 0.2829
O 0.6375 0.8188 0.7171
O 0.6667 0.3333 0.0309
O 0.8188 0.1812 0.2829
O 0.8188 0.6375 0.2829

Calculated values
The calculation puts the energy relative to the elements, uncorrected at -2.378 eV/atom. The spin magnetization comes out at 2.03 Bohr magnetons per cell. The electronic total energy is -6.885 eV/atom.

---

# 21
The following is a PBE calculation of a geometry-optimized Pr2NpScP4 structure, from Alexandria via LeMat-Bulk.

Cell: 6.9460 4.0300 6.9943 Å, 90.00 109.28 90.00°
Positions (direct):
Pr 0.0000 0.0000 0.0000
Pr 0.5000 0.5000 0.0000
Np 0.0000 0.5000 0.5000
Sc 0.5000 0.0000 0.5000
P 0.2457 0.0000 0.7268
P 0.2604 0.5000 0.2757
P 0.7396 0.5000 0.7243
P 0.7543 0.0000 0.2732

Calculated values
The spin magnetization comes out at 3.50 Bohr magnetons per cell. As for the energy of formation from the pure elements: -1311 meV per atom. The electronic total energy is -7.620 eV/atom.

---

# 22
The following is a PBE calculation of a geometry-optimized CsUBe2Br8 structure, from Alexandria via LeMat-Bulk.

Cell: 11.4439 11.4439 11.4439 Å, 34.17 34.17 34.17°
Positions (direct):
Cs 0.0000 0.0000 0.0000
U 0.5000 0.5000 0.5000
Be 0.2450 0.2450 0.2450
Be 0.7550 0.7550 0.7550
Br 0.0879 0.4631 0.7858
Br 0.2142 0.9121 0.5369
Br 0.3104 0.3104 0.3104
Br 0.4631 0.7858 0.0879
Br 0.5369 0.2142 0.9121
Br 0.6896 0.6896 0.6896
Br 0.7858 0.0879 0.4631
Br 0.9121 0.5369 0.2142

Calculated values
The calculation puts the energy relative to the elements, uncorrected at -1.213 eV/atom. The spin magnetization comes out at 3.00 Bohr magnetons per cell. The electronic total energy is -3.961 eV/atom.

---

# 23
The following is a PBE calculation of a geometry-optimized BaScBi2 structure, from Alexandria via LeMat-Bulk.

Cell: 13.1524 4.7607 13.1546 Å, 79.55 20.85 79.60°
Positions (direct):
Ba 0.1095 0.8905 0.1095
Ba 0.8905 0.1095 0.8905
Sc 0.2493 0.2493 0.2507
Sc 0.7493 0.7493 0.7507
Bi 0.0297 0.4937 0.9703
Bi 0.3232 0.6756 0.3244
Bi 0.4937 0.0297 0.5063
Bi 0.6756 0.3232 0.6768

Calculated values
The spin magnetization comes out at 1.85 Bohr magnetons per cell. As for the energy of formation from the pure elements: -662 meV per atom. Its energy above the lowest structure with this stoichiometry is 28 meV per atom. The electronic total energy is -4.666 eV/atom.